Entry from Alexandria: a relaxed structure of Rb2AuSe4 (PBE-GGA).

total magnetization: 0.0 μB per formula unit
calculated total energy: -3.26 eV per atom
ΔE_f (raw): -51 kJ/mol of atoms
mass density: 4.57 g/cm³

Geometry as CIF:
```
data_Rb2AuSe4
_cell_length_a 10.367
_cell_length_b 13.561
_cell_length_c 7.065
_cell_angle_alpha 90.00
_cell_angle_beta 90.00
_cell_angle_gamma 90.00
_space_group_name_H-M_alt 'I b a m'
_space_group_IT_number 72
_space_group_name_Hall '-I 2 2c'
loop_
_atom_site_label
_atom_site_type_symbol
_atom_site_fract_x
_atom_site_fract_y
_atom_site_fract_z
Rb1 Rb 0.199 0.126 0.000
Au1 Au 0.000 0.500 0.250
Se1 Se 0.115 0.387 0.000
Se2 Se 0.157 0.132 0.500
```

Entry from Alexandria: a relaxed structure of CrHg2Ru (PBE-GGA).

total magnetization: 0.0 μB per formula unit
calculated total energy: -4.06 eV per atom
ΔE to the lowest computed polymorph: 199 kJ/mol of formula units
energy of formation from the pure elements: 812 meV per atom
mass density: 13.79 g/cm³

Geometry as CIF:
```
data_CrHg2Ru
_cell_length_a 6.439
_cell_length_b 6.439
_cell_length_c 6.439
_cell_angle_alpha 90.00
_cell_angle_beta 90.00
_cell_angle_gamma 90.00
_space_group_name_H-M_alt 'F m -3 m'
_space_group_IT_number 225
_space_group_name_Hall '-F 4 2 3'
loop_
_atom_site_label
_atom_site_type_symbol
_atom_site_fract_x
_atom_site_fract_y
_atom_site_fract_z
Cr1 Cr 0.000 0.000 0.000
Hg1 Hg 0.250 0.250 0.250
Ru1 Ru 0.000 0.000 0.500
```

Entry from Alexandria: a relaxed structure of CuSb3W (PBE-GGA).

total magnetization: 3.0 μB per formula unit
calculated total energy: -4.61 eV per atom
ΔE to the lowest computed polymorph: 179 kJ/mol of formula units
ΔE_f (raw): 122 kJ/mol of atoms
mass density: 8.18 g/cm³

Geometry as CIF:
```
data_CuSb3W
_cell_length_a 4.991
_cell_length_b 4.991
_cell_length_c 4.991
_cell_angle_alpha 90.00
_cell_angle_beta 90.00
_cell_angle_gamma 90.00
_space_group_name_H-M_alt 'P m -3 m'
_space_group_IT_number 221
_space_group_name_Hall '-P 4 2 3'
loop_
_atom_site_label
_atom_site_type_symbol
_atom_site_fract_x
_atom_site_fract_y
_atom_site_fract_z
Cu1 Cu 0.000 0.000 0.000
Sb1 Sb 0.000 0.000 0.500
W1 W 0.500 0.500 0.500
```

Entry from Alexandria: a relaxed structure of Pr3YHo2Er6 (PBE-GGA).

total magnetization: 0.0 μB per formula unit
calculated total energy: -4.75 eV per atom
energy of formation from the pure elements: 24 meV per atom
mass density: 7.97 g/cm³

Geometry as CIF:
```
data_Pr3YHo2Er6
_cell_length_a 6.192
_cell_length_b 10.718
_cell_length_c 11.770
_cell_angle_alpha 90.00
_cell_angle_beta 100.07
_cell_angle_gamma 90.00
_space_group_name_H-M_alt 'C 1 2/m 1'
_space_group_IT_number 12
_space_group_name_Hall '-C 2y'
loop_
_atom_site_label
_atom_site_type_symbol
_atom_site_fract_x
_atom_site_fract_y
_atom_site_fract_z
Pr1 Pr 0.000 0.000 0.000
Pr2 Pr 0.000 0.333 0.000
Y1 Y 0.000 0.500 0.500
Ho1 Ho 0.000 0.167 0.500
Er1 Er 0.248 0.000 0.746
Er2 Er 0.249 0.333 0.746
```

Entry from Alexandria: a relaxed structure of GaFe2Br8 (PBE-GGA).

total magnetization: 9.0 μB per formula unit
calculated total energy: -3.58 eV per atom
ΔE to the lowest computed polymorph: 0 kJ/mol of formula units
ΔE_f (raw): -53 kJ/mol of atoms
mass density: 3.38 g/cm³

Geometry as CIF:
```
data_GaFe2Br8
_cell_length_a 12.618
_cell_length_b 9.857
_cell_length_c 6.502
_cell_angle_alpha 90.00
_cell_angle_beta 94.16
_cell_angle_gamma 90.00
_space_group_name_H-M_alt 'C 1 2/m 1'
_space_group_IT_number 12
_space_group_name_Hall '-C 2y'
loop_
_atom_site_label
_atom_site_type_symbol
_atom_site_fract_x
_atom_site_fract_y
_atom_site_fract_z
Ga1 Ga 0.000 0.000 0.000
Fe1 Fe 0.192 0.000 0.628
Br1 Br 0.092 0.179 0.782
Br2 Br 0.131 0.500 0.263
Br3 Br 0.178 0.000 0.260
```

Entry from Alexandria: a relaxed structure of SrNd2BeO5 (PBE-GGA).

total magnetization: 0.0 μB per formula unit
calculated total energy: -7.50 eV per atom
ΔE_f (raw): -298 kJ/mol of atoms
mass density: 6.63 g/cm³

Geometry as CIF:
```
data_SrNd2BeO5
_cell_length_a 9.647
_cell_length_b 6.616
_cell_length_c 7.302
_cell_angle_alpha 90.00
_cell_angle_beta 90.00
_cell_angle_gamma 90.00
_space_group_name_H-M_alt 'P n a 21'
_space_group_IT_number 33
_space_group_name_Hall 'P 2c -2n'
loop_
_atom_site_label
_atom_site_type_symbol
_atom_site_fract_x
_atom_site_fract_y
_atom_site_fract_z
Sr1 Sr 0.175 0.082 0.000
Nd1 Nd 0.023 0.596 0.766
Nd2 Nd 0.172 0.072 0.547
Be1 Be 0.101 0.808 0.268
O1 O 0.011 0.020 0.269
O2 O 0.068 0.696 0.460
O3 O 0.070 0.686 0.078
O4 O 0.223 0.338 0.263
O5 O 0.226 0.364 0.769
```